1.
# PBE TaGe2C, optimized geometry
# Calculated volume = 13.86 Å³ per atom
# VASP energy = -55.4 eV/cell
data_TaGe2C
_cell_length_a 3.0196
_cell_length_b 3.0196
_cell_length_c 14.0434
_cell_angle_alpha 90.00
_cell_angle_beta 90.00
_cell_angle_gamma 120.00
_symmetry_space_group_name_H-M 'P 63/m m c'
_symmetry_Int_Tables_number 194
_symmetry_space_group_name_Hall '-P 6c 2c'
loop_
_atom_site_label
_atom_site_type_symbol
_atom_site_fract_x
_atom_site_fract_y
_atom_site_fract_z
_atom_site_occupancy
Ta1 Ta 0.3333 0.6667 0.2500 1
Ge1 Ge 0.3333 0.6667 0.5905 1
C1 C 0.0000 0.0000 0.0000 1



2.
# PBE Pr4GeAu3, optimized geometry
# Calculated volume = 26.97 Å³ per atom
# VASP energy = -39.7 eV/cell
data_Pr4GeAu3
_cell_length_a 6.046
_cell_length_b 4.674
_cell_length_c 7.634
_cell_angle_alpha 90.00
_cell_angle_beta 90.51
_cell_angle_gamma 90.00
_symmetry_space_group_name_H-M 'P 1 m 1'
_symmetry_Int_Tables_number 6
loop_
_symmetry_equiv_pos_as_xyz
'x,y,z'
'x,-y,z'
loop_
_atom_site_label
_atom_site_type_symbol
_atom_site_fract_x
_atom_site_fract_y
_atom_site_fract_z
_atom_site_occupancy
Pr1 Pr 0.000 0.000 0.000 1
Pr2 Pr 0.221 0.000 0.499 1
Pr3 Pr 0.499 0.500 0.856 1
Pr4 Pr 0.725 0.500 0.358 1
Ge1 Ge 0.014 0.500 0.722 1
Au1 Au 0.216 0.500 0.221 1
Au2 Au 0.515 0.000 0.138 1
Au3 Au 0.718 0.000 0.637 1



3.
# PBE ZnReSn, optimized geometry
# Calculated volume = 20.33 Å³ per atom
# VASP energy = -62.5 eV/cell
data_ZnReSn
_cell_length_a 6.249
_cell_length_b 6.249
_cell_length_c 6.249
_cell_angle_alpha 90.00
_cell_angle_beta 90.00
_cell_angle_gamma 90.00
_symmetry_space_group_name_H-M 'F -4 3 m'
_symmetry_Int_Tables_number 216
_symmetry_space_group_name_Hall 'F -4 2 3'
loop_
_atom_site_label
_atom_site_type_symbol
_atom_site_fract_x
_atom_site_fract_y
_atom_site_fract_z
_atom_site_occupancy
Zn1 Zn 0.000 0.000 0.000 1
Re1 Re 0.250 0.250 0.750 1
Sn1 Sn 0.000 0.000 0.500 1



4.
# PBE GdZrNO, optimized geometry
# Calculated volume = 13.41 Å³ per atom
# ΔE to the lowest computed polymorph = 27 meV/atom
# VASP energy = -69.1 eV/cell
data_GdZrNO
_cell_length_a 4.793
_cell_length_b 4.793
_cell_length_c 4.669
_cell_angle_alpha 90.00
_cell_angle_beta 90.00
_cell_angle_gamma 90.00
_symmetry_space_group_name_H-M 'P 4/n m m'
_symmetry_Int_Tables_number 129
loop_
_symmetry_equiv_pos_as_xyz
'x,y,z'
'-x,-y,-z'
'-y+1/2,x,z'
'y+1/2,-x,-z'
'-x+1/2,-y+1/2,z'
'x+1/2,y+1/2,-z'
'y,-x+1/2,z'
'-y,x+1/2,-z'
'x+1/2,-y,-z'
'-x+1/2,y,z'
'-y,-x,-z'
'y,x,z'
'-x,y+1/2,-z'
'x,-y+1/2,z'
'y+1/2,x+1/2,-z'
'-y+1/2,-x+1/2,z'
loop_
_atom_site_label
_atom_site_type_symbol
_atom_site_fract_x
_atom_site_fract_y
_atom_site_fract_z
_atom_site_occupancy
Gd1 Gd 0.250 0.750 0.000 1
Zr1 Zr 0.250 0.250 0.499 1
N1 N 0.250 0.250 0.002 1
O1 O 0.250 0.750 0.500 1



5.
# PBE Cs4ZnSi2O7, optimized geometry
# Calculated volume = 20.44 Å³ per atom
# ΔE to the lowest computed polymorph = 0 meV/atom
# VASP energy = -79.8 eV/cell
data_Cs4ZnSi2O7
_cell_length_a 6.503
_cell_length_b 7.381
_cell_length_c 7.451
_cell_angle_alpha 114.48
_cell_angle_beta 101.26
_cell_angle_gamma 108.37
_symmetry_space_group_name_H-M 'P -1'
_symmetry_Int_Tables_number 2
loop_
_symmetry_equiv_pos_as_xyz
'x,y,z'
'-x,-y,-z'
loop_
_atom_site_label
_atom_site_type_symbol
_atom_site_fract_x
_atom_site_fract_y
_atom_site_fract_z
_atom_site_occupancy
Cs1 Cs 0.065 0.042 0.278 1
Cs2 Cs 0.327 0.597 0.232 1
Zn1 Zn 0.500 0.000 0.000 1
Si1 Si 0.214 0.581 0.723 1
O1 O 0.000 0.500 0.500 1
O2 O 0.182 0.766 0.926 1
O3 O 0.199 0.366 0.737 1
O4 O 0.468 0.737 0.731 1



6.
# PBE Sr2Ga4CuPt, optimized geometry
# Calculated volume = 21.77 Å³ per atom
# VASP energy = -59.2 eV/cell
data_Sr2Ga4CuPt
_cell_length_a 7.329
_cell_length_b 4.175
_cell_length_c 11.386
_cell_angle_alpha 90.00
_cell_angle_beta 90.00
_cell_angle_gamma 90.00
_symmetry_space_group_name_H-M 'A m m 2'
_symmetry_Int_Tables_number 38
loop_
_symmetry_equiv_pos_as_xyz
'x,y,z'
'-x,-y,z'
'-x,y,z'
'x,-y,z'
'x,y+1/2,z+1/2'
'-x,-y+1/2,z+1/2'
'-x,y+1/2,z+1/2'
'x,-y+1/2,z+1/2'
loop_
_atom_site_label
_atom_site_type_symbol
_atom_site_fract_x
_atom_site_fract_y
_atom_site_fract_z
_atom_site_occupancy
Sr1 Sr 0.000 0.000 0.000 1
Sr2 Sr 0.500 0.000 0.102 1
Ga1 Ga 0.185 0.000 0.717 1
Ga2 Ga 0.301 0.000 0.379 1
Cu1 Cu 0.000 0.000 0.276 1
Pt1 Pt 0.500 0.000 0.827 1